Computed, not measured: a relaxed YLuZnGa crystal at the PBE level of DFT.

Output
* total magnetization: 0.01 μB per cell
* calculated formation energy: -0.480 eV per atom
* theoretical density: 7.48 g/cm³
* final energy: -4.3017 eV/atom
* density of states at the Fermi level: 13.7 states/eV per cell

Unit cell a=7.0753 b=7.0753 c=7.0753 alpha=90.00 beta=90.00 gamma=90.00
Space group F-43m (No. 216)
Asymmetric unit:
Y: 0.0000 0.0000 0.0000
Lu: 0.0000 0.0000 0.5000
Zn: 0.2500 0.2500 0.7500
Ga: 0.2500 0.2500 0.2500